# 1
The following is a DFT calculation (PBE-GGA) of a relaxed structure of CaTb2TmSb4.

a = 4.383 Å, b = 7.652 Å, c = 7.680 Å
α = 70.88°, β = 90.00°, γ = 90.00°
Sites, in units of the cell vectors:
Tm  0.000  0.500  0.500
Tb  0.500  0.000  0.500
Tb  0.000  0.000  0.000
Sb  0.000  0.754  0.743
Sb  0.000  0.246  0.257
Sb  0.500  0.749  0.255
Ca  0.500  0.500  0.000
Sb  0.500  0.251  0.745

- M_tot (μB per atom) = 0.00
- formation energy from raw total energies (eV/atom) = -1.025
- calculated density (g/cm³) = 6.918
- total energy (eV per atom) = -5.053
- symmetry = No. 10

***

# 2
The following is a DFT calculation (PBE-GGA) of a relaxed structure of BeI3.

a = 5.540 Å, b = 5.540 Å, c = 5.540 Å
α = 60.00°, β = 60.00°, γ = 60.00°
Sites, in units of the cell vectors:
I  0.500  0.500  0.500
Be  0.000  0.000  0.000
I  0.250  0.250  0.250
I  0.750  0.750  0.750

- M_tot (μB per atom) = 0.00
- formation energy from raw total energies (eV/atom) = 0.876
- calculated density (g/cm³) = 5.382
- total energy (eV per atom) = -1.218
- offset from the most stable computed form (eV per atom) = 0.9089
- symmetry = No. 225

***

# 3
The following is a DFT calculation (PBE-GGA) of a relaxed structure of Re3Cl.

a = 2.834 Å, b = 2.834 Å, c = 8.767 Å
α = 90.00°, β = 90.00°, γ = 120.00°
Sites, in units of the cell vectors:
Re  0.667  0.333  0.255
Re  0.667  0.333  0.745
Re  0.000  0.000  0.500
Cl  0.000  0.000  0.000

- M_tot (μB per atom) = 0.00
- formation energy from raw total energies (eV/atom) = 0.425
- calculated density (g/cm³) = 16.179
- total energy (eV per atom) = -9.373
- offset from the most stable computed form (eV per atom) = 0.0066
- symmetry = No. 187

***

# 4
The following is a DFT calculation (PBE-GGA) of a relaxed structure of YbIn6.

a = 6.997 Å, b = 6.997 Å, c = 6.997 Å
α = 109.47°, β = 109.47°, γ = 109.47°
Each line ends with the local moment (μB).
Sites, in units of the cell vectors:
Yb  0.000  0.000  0.000  -0.23
In  0.250  0.750  0.500  0.00
In  0.750  0.250  0.500  0.00
In  0.250  0.500  0.750  0.00
In  0.500  0.250  0.750  0.00
In  0.500  0.750  0.250  0.00
In  0.750  0.500  0.250  0.00

- M_tot (μB per atom) = 0.03
- calculated density (g/cm³) = 5.428
- total energy (eV per atom) = -2.295
- symmetry = No. 229

***

# 5
The following is a DFT calculation (PBE-GGA) of a relaxed structure of CeMgZrTc.

a = 4.933 Å, b = 4.933 Å, c = 4.933 Å
α = 60.00°, β = 60.00°, γ = 60.00°
Sites, in units of the cell vectors:
Ce  0.250  0.250  0.250
Mg  0.000  0.000  0.000
Zr  0.750  0.750  0.750
Tc  0.500  0.500  0.500

- M_tot (μB per atom) = 0.00
- calculated density (g/cm³) = 6.917
- total energy (eV per atom) = -6.571
- symmetry = No. 216

***

# 6
The following is a DFT calculation (PBE-GGA) of a relaxed structure of Mo2IrICl.

a = 4.984 Å, b = 4.882 Å, c = 4.984 Å
α = 90.00°, β = 90.00°, γ = 90.00°
Each line ends with the local moment (μB).
Sites, in units of the cell vectors:
Mo  0.500  0.000  0.000  2.27
Ir  0.000  0.000  0.000  -0.21
I  0.500  0.500  0.500  -0.02
Mo  0.000  0.000  0.500  1.97
Cl  0.000  0.500  0.000  0.03

- M_tot (μB per atom) = 0.96
- formation energy from raw total energies (eV/atom) = 1.279
- calculated density (g/cm³) = 7.483
- total energy (eV per atom) = -5.505
- symmetry = No. 123

***

# 7
The following is a DFT calculation (PBE-GGA) of a relaxed structure of Nd2B3PdPt12.

a = 7.427 Å, b = 7.427 Å, c = 7.427 Å
α = 65.07°, β = 65.07°, γ = 65.07°
Sites, in units of the cell vectors:
Pt  0.088  0.676  0.676
Pt  0.127  0.610  0.127
Nd  0.604  0.604  0.604
Pt  0.324  0.324  0.912
B  0.000  0.500  0.000
Pt  0.873  0.873  0.390
Pt  0.676  0.088  0.676
Pt  0.390  0.873  0.873
Pt  0.610  0.127  0.127
Pt  0.873  0.390  0.873
Pt  0.127  0.127  0.610
Pt  0.676  0.676  0.088
Pt  0.912  0.324  0.324
Nd  0.396  0.396  0.396
B  0.000  0.000  0.500
Pt  0.324  0.912  0.324
Pd  0.000  0.000  0.000
B  0.500  0.000  0.000

- M_tot (μB per atom) = 0.00
- calculated density (g/cm³) = 14.288
- total energy (eV per atom) = -6.283
- symmetry = No. 166

***

# 8
The following is a DFT calculation (PBE-GGA) of a relaxed structure of SiGeSeN2.

a = 3.674 Å, b = 3.674 Å, c = 6.219 Å
α = 90.00°, β = 90.00°, γ = 90.00°
Sites, in units of the cell vectors:
Se  0.000  0.000  0.500
N  0.500  0.000  0.000
Ge  0.000  0.000  0.000
N  0.000  0.500  0.000
Si  0.500  0.500  0.500

- M_tot (μB per atom) = 0.00
- formation energy from raw total energies (eV/atom) = 1.195
- calculated density (g/cm³) = 4.108
- total energy (eV per atom) = -4.840
- offset from the most stable computed form (eV per atom) = 0.6205
- symmetry = No. 123